A plane-wave DFT calculation with PBE was carried out for a relaxed PmMg3Pb3 crystal.

- volume (Å³ per atom) = 26.84
- ΔH_f (0 K) (eV/atom) = -0.19
- energy above the most stable polymorph in this dataset (meV/atom) = 0

Geometry as CIF:
```
data_PmMg3Pb3
_cell_length_a 9.3187
_cell_length_b 9.3187
_cell_length_c 4.9960
_cell_angle_alpha 90.00
_cell_angle_beta 90.00
_cell_angle_gamma 120.00
_space_group_name_H-M_alt 'P 63/m'
_space_group_IT_number 176
_space_group_name_Hall '-P 6c'
loop_
_atom_site_label
_atom_site_type_symbol
_atom_site_fract_x
_atom_site_fract_y
_atom_site_fract_z
_atom_site_occupancy
Pm1 Pm 0.3333 0.6667 0.2500 1
Mg1 Mg 0.0459 0.2228 0.2500 1
Pb1 Pb 0.0823 0.4320 0.7500 1
```

---

A plane-wave DFT calculation with PBE was carried out for a relaxed Tl4Pt crystal.

- volume (Å³ per atom) = 30.30
- ΔH_f (0 K) (eV/atom) = 0.09
- energy above the most stable polymorph in this dataset (meV/atom) = 134

Geometry as CIF:
```
data_Tl4Pt
_cell_length_a 6.7164
_cell_length_b 6.7164
_cell_length_c 6.7164
_cell_angle_alpha 90.00
_cell_angle_beta 90.00
_cell_angle_gamma 90.00
_space_group_name_H-M_alt 'I m -3 m'
_space_group_IT_number 229
_space_group_name_Hall '-I 4 2 3'
loop_
_atom_site_label
_atom_site_type_symbol
_atom_site_fract_x
_atom_site_fract_y
_atom_site_fract_z
_atom_site_occupancy
Tl1 Tl 0.2500 0.2500 0.2500 1
Pt1 Pt 0.0000 0.0000 0.0000 1
```

---

A plane-wave DFT calculation with PBE was carried out for a relaxed PmTm4Os2 crystal.

- volume (Å³ per atom) = 25.30
- ΔH_f (0 K) (eV/atom) = -0.22

Geometry as CIF:
```
data_PmTm4Os2
_cell_length_a 7.6884
_cell_length_b 6.2607
_cell_length_c 7.9544
_cell_angle_alpha 90.00
_cell_angle_beta 112.34
_cell_angle_gamma 90.00
_space_group_name_H-M_alt 'P 1 21/m 1'
_space_group_IT_number 11
_space_group_name_Hall '-P 2yb'
loop_
_atom_site_label
_atom_site_type_symbol
_atom_site_fract_x
_atom_site_fract_y
_atom_site_fract_z
_atom_site_occupancy
Pm1 Pm 0.0195 0.2500 0.1603 1
Tm1 Tm 0.2420 0.5008 0.5798 1
Tm2 Tm 0.3281 0.7500 0.2569 1
Tm3 Tm 0.3831 0.2500 0.0191 1
Os1 Os 0.0272 0.2500 0.7378 1
Os2 Os 0.4161 0.2500 0.3741 1
```

---

A plane-wave DFT calculation with PBE was carried out for a relaxed Ag4IrF8 crystal.

- volume (Å³ per atom) = 17.80
- energy relative to the elements, uncorrected (eV/atom) = -1.09

Geometry as CIF:
```
data_Ag4IrF8
_cell_length_a 6.5779
_cell_length_b 6.5779
_cell_length_c 18.5269
_cell_angle_alpha 90.00
_cell_angle_beta 90.00
_cell_angle_gamma 120.00
_space_group_name_H-M_alt 'R -3 m'
_space_group_IT_number 166
_space_group_name_Hall '-R 3 2"'
loop_
_atom_site_label
_atom_site_type_symbol
_atom_site_fract_x
_atom_site_fract_y
_atom_site_fract_z
_atom_site_occupancy
Ag1 Ag 0.0000 0.0000 0.0000 1
Ag2 Ag 0.0000 0.5000 0.0000 1
Ir1 Ir 0.0000 0.0000 0.5000 1
F1 F 0.0000 0.0000 0.2712 1
F2 F 0.0552 0.5276 0.2311 1
```

---

A plane-wave DFT calculation with PBE was carried out for a relaxed AcPmSmEr crystal.

- volume (Å³ per atom) = 36.00
- ΔH_f (0 K) (eV/atom) = 0.17
- energy above the most stable polymorph in this dataset (meV/atom) = 0

Geometry as CIF:
```
data_AcPmSmEr
_cell_length_a 8.3205
_cell_length_b 8.3205
_cell_length_c 8.3205
_cell_angle_alpha 90.00
_cell_angle_beta 90.00
_cell_angle_gamma 90.00
_space_group_name_H-M_alt 'F -4 3 m'
_space_group_IT_number 216
_space_group_name_Hall 'F -4 2 3'
loop_
_atom_site_label
_atom_site_type_symbol
_atom_site_fract_x
_atom_site_fract_y
_atom_site_fract_z
_atom_site_occupancy
Ac1 Ac 0.0000 0.0000 0.0000 1
Pm1 Pm 0.2500 0.2500 0.7500 1
Sm1 Sm 0.2500 0.2500 0.2500 1
Er1 Er 0.0000 0.0000 0.5000 1
```

---

A plane-wave DFT calculation with PBE was carried out for a relaxed Ba2Tl2Cd crystal.

- volume (Å³ per atom) = 41.22
- ΔH_f (0 K) (eV/atom) = -0.16
- energy above the most stable polymorph in this dataset (meV/atom) = 198

Geometry as CIF:
```
data_Ba2Tl2Cd
_cell_length_a 9.9781
_cell_length_b 9.9781
_cell_length_c 4.1406
_cell_angle_alpha 90.00
_cell_angle_beta 90.00
_cell_angle_gamma 90.00
_space_group_name_H-M_alt 'P 4/m b m'
_space_group_IT_number 127
_space_group_name_Hall '-P 4 2ab'
loop_
_atom_site_label
_atom_site_type_symbol
_atom_site_fract_x
_atom_site_fract_y
_atom_site_fract_z
_atom_site_occupancy
Ba1 Ba 0.1835 0.3165 0.0000 1
Tl1 Tl 0.1133 0.6133 0.5000 1
Cd1 Cd 0.0000 0.0000 0.0000 1
```

---

A plane-wave DFT calculation with PBE was carried out for a relaxed GaCuOF2 crystal.

- volume (Å³ per atom) = 11.64
- energy above the most stable polymorph in this dataset (meV/atom) = 0
- energy relative to the elements, uncorrected (eV/atom) = -1.39

Geometry as CIF:
```
data_GaCuOF2
_cell_length_a 3.9701
_cell_length_b 3.9701
_cell_length_c 3.6931
_cell_angle_alpha 90.00
_cell_angle_beta 90.00
_cell_angle_gamma 90.00
_space_group_name_H-M_alt 'P 4/m m m'
_space_group_IT_number 123
_space_group_name_Hall '-P 4 2'
loop_
_atom_site_label
_atom_site_type_symbol
_atom_site_fract_x
_atom_site_fract_y
_atom_site_fract_z
_atom_site_occupancy
Ga1 Ga 0.0000 0.0000 0.0000 1
Cu1 Cu 0.5000 0.5000 0.5000 1
O1 O 0.0000 0.0000 0.5000 1
F1 F 0.0000 0.5000 0.0000 1
```

---

A plane-wave DFT calculation with PBE was carried out for a relaxed Pm2TmRh crystal.

- volume (Å³ per atom) = 27.98
- ΔH_f (0 K) (eV/atom) = -0.48
- energy above the most stable polymorph in this dataset (meV/atom) = 0

Geometry as CIF:
```
data_Pm2TmRh
_cell_length_a 7.2239
_cell_length_b 9.8442
_cell_length_c 6.2947
_cell_angle_alpha 90.00
_cell_angle_beta 90.00
_cell_angle_gamma 90.00
_space_group_name_H-M_alt 'P n m a'
_space_group_IT_number 62
_space_group_name_Hall '-P 2ac 2n'
loop_
_atom_site_label
_atom_site_type_symbol
_atom_site_fract_x
_atom_site_fract_y
_atom_site_fract_z
_atom_site_occupancy
Pm1 Pm 0.1794 0.0650 0.1707 1
Tm1 Tm 0.0380 0.2500 0.6495 1
Rh1 Rh 0.1215 0.7500 0.9490 1
```

---

A plane-wave DFT calculation with PBE was carried out for a relaxed RbSrLiCl4 crystal.

- volume (Å³ per atom) = 29.77
- energy relative to the elements, uncorrected (eV/atom) = -2.13

Geometry as CIF:
```
data_RbSrLiCl4
_cell_length_a 6.9416
_cell_length_b 7.0194
_cell_length_c 9.0247
_cell_angle_alpha 90.00
_cell_angle_beta 108.58
_cell_angle_gamma 90.00
_space_group_name_H-M_alt 'P 1 21/m 1'
_space_group_IT_number 11
_space_group_name_Hall '-P 2yb'
loop_
_atom_site_label
_atom_site_type_symbol
_atom_site_fract_x
_atom_site_fract_y
_atom_site_fract_z
_atom_site_occupancy
Rb1 Rb 0.2300 0.2500 0.4367 1
Sr1 Sr 0.2776 0.2500 0.9480 1
Li1 Li 0.2693 0.7500 0.1818 1
Cl1 Cl 0.0568 0.7500 0.9240 1
Cl2 Cl 0.0665 0.7500 0.3427 1
Cl3 Cl 0.4964 0.0002 0.7863 1
```

---

A plane-wave DFT calculation with PBE was carried out for a relaxed TaCdHg2 crystal.

- volume (Å³ per atom) = 20.59
- ΔH_f (0 K) (eV/atom) = 0.56

Geometry as CIF:
```
data_TaCdHg2
_cell_length_a 4.3429
_cell_length_b 4.3429
_cell_length_c 8.7318
_cell_angle_alpha 90.00
_cell_angle_beta 90.00
_cell_angle_gamma 90.00
_space_group_name_H-M_alt 'I 4/m m m'
_space_group_IT_number 139
_space_group_name_Hall '-I 4 2'
loop_
_atom_site_label
_atom_site_type_symbol
_atom_site_fract_x
_atom_site_fract_y
_atom_site_fract_z
_atom_site_occupancy
Ta1 Ta 0.0000 0.0000 0.0000 1
Cd1 Cd 0.0000 0.0000 0.5000 1
Hg1 Hg 0.0000 0.5000 0.2500 1
```

---

A plane-wave DFT calculation with PBE was carried out for a relaxed AgPb2 crystal.

- volume (Å³ per atom) = 26.63
- ΔH_f (0 K) (eV/atom) = 0.05

Geometry as CIF:
```
data_AgPb2
_cell_length_a 4.8227
_cell_length_b 4.9280
_cell_length_c 7.1374
_cell_angle_alpha 90.00
_cell_angle_beta 109.62
_cell_angle_gamma 90.00
_space_group_name_H-M_alt 'C 1 2/m 1'
_space_group_IT_number 12
_space_group_name_Hall '-C 2y'
loop_
_atom_site_label
_atom_site_type_symbol
_atom_site_fract_x
_atom_site_fract_y
_atom_site_fract_z
_atom_site_occupancy
Ag1 Ag 0.0000 0.0000 0.0000 1
Pb1 Pb 0.1500 0.5000 0.2971 1
```

---

A plane-wave DFT calculation with PBE was carried out for a relaxed LaFeHg2 crystal.

- volume (Å³ per atom) = 23.58
- ΔH_f (0 K) (eV/atom) = 0.03

Geometry as CIF:
```
data_LaFeHg2
_cell_length_a 3.9036
_cell_length_b 5.1137
_cell_length_c 9.4494
_cell_angle_alpha 90.00
_cell_angle_beta 90.00
_cell_angle_gamma 90.00
_space_group_name_H-M_alt 'I m m m'
_space_group_IT_number 71
_space_group_name_Hall '-I 2 2'
loop_
_atom_site_label
_atom_site_type_symbol
_atom_site_fract_x
_atom_site_fract_y
_atom_site_fract_z
_atom_site_occupancy
La1 La 0.0000 0.0000 0.0000 1
Fe1 Fe 0.0000 0.0000 0.5000 1
Hg1 Hg 0.0000 0.5000 0.2158 1
```